Entry 1:
A relaxed LaFeSi2Ru crystal, computed with PBE-GGA.

POSCAR file:
```
LaFeSi2Ru
1.0
4.150 0.000 0.000
0.000 4.150 0.000
-2.075 -2.075 4.984
La Fe Si Ru
1 1 2 1
direct
0.000 0.000 0.000
0.750 0.250 0.500
0.640 0.640 0.279
0.360 0.360 0.721
0.250 0.750 0.500
```

- M_tot (μB per formula unit) = 0.00
- E_form (uncorrected) (eV per atom) = -0.734
- density of states at the Fermi level (states/eV/atom) = 0.632

=====

Entry 2:
A relaxed LaTl2FeRu crystal, computed with PBE-GGA.

POSCAR file:
```
LaTl2FeRu
1.0
-2.107 -2.232 -5.364
-0.901 -4.141 2.077
-5.689 1.952 1.422
Ru Tl Fe La
1 2 1 1
direct
0.000 0.500 0.000
0.000 0.000 0.500
0.500 0.000 0.000
0.500 0.500 0.500
0.000 0.000 0.000
```

- formation energy from the elements (eV/atom) = 1.7410
- M_tot (μB per formula unit) = 0.14
- density of states at the Fermi level (states/eV/atom) = 2.153

=====

Entry 3:
A relaxed LaVFeRu2 crystal, computed with PBE-GGA.

POSCAR file:
```
LaVFeRu2
1.0
-4.306 -0.019 1.599
-0.864 -3.637 -2.371
1.324 -2.619 3.534
Ru V Fe La
2 1 1 1
direct
0.000 0.000 0.500
0.500 0.000 0.000
0.000 0.000 0.000
0.000 0.500 0.000
0.500 0.500 0.500
```

- formation energy from the elements (eV/atom) = 0.3312
- M_tot (μB per formula unit) = 1.83
- density of states at the Fermi level (states/eV/atom) = 0.973

=====

Question: What is the formula in the third record?
Answer: LaVFeRu2